Entry from Alexandria: CaCrNiP2O9 after structural relaxation (PBE with a Hubbard U).

Computed properties:
DFT total energy   -6.9542 eV per atom

Cell lengths 14.1551, 6.4595, 7.5107 Å; angles 90.00, 90.00, 90.00 degrees
Atoms (fractional coordinates):
Ca: 0.2209 0.2500 0.1269
Ca: 0.2791 0.7500 0.6269
Ca: 0.7209 0.2500 0.3731
Ca: 0.7791 0.7500 0.8731
Cr: 0.1152 0.2500 0.6546
Cr: 0.3848 0.7500 0.1546
Cr: 0.6152 0.2500 0.8454
Cr: 0.8848 0.7500 0.3454
Ni: 0.0000 0.0000 0.0000
Ni: 0.0000 0.5000 0.0000
Ni: 0.5000 0.0000 0.5000
Ni: 0.5000 0.5000 0.5000
P: 0.0600 0.7500 0.6514
P: 0.1955 0.7500 0.1051
P: 0.3045 0.2500 0.6051
P: 0.4400 0.2500 0.1514
P: 0.5600 0.7500 0.8486
P: 0.6955 0.7500 0.3949
P: 0.8045 0.2500 0.8949
P: 0.9400 0.2500 0.3486
O: 0.0091 0.7500 0.8326
O: 0.0153 0.2500 0.4941
O: 0.0550 0.2500 0.8533
O: 0.1280 0.5620 0.6357
O: 0.1280 0.9380 0.6357
O: 0.1352 0.5524 0.0987
O: 0.1352 0.9476 0.0987
O: 0.2254 0.2500 0.4585
O: 0.2409 0.2500 0.7782
O: 0.2591 0.7500 0.2782
O: 0.2746 0.7500 0.9585
O: 0.3648 0.0524 0.5987
O: 0.3648 0.4476 0.5987
O: 0.3720 0.0620 0.1357
O: 0.3720 0.4380 0.1357
O: 0.4450 0.7500 0.3533
O: 0.4847 0.7500 0.9941
O: 0.4909 0.2500 0.3326
O: 0.5091 0.7500 0.6674
O: 0.5153 0.2500 0.0059
O: 0.5550 0.2500 0.6467
O: 0.6280 0.5620 0.8643
O: 0.6280 0.9380 0.8643
O: 0.6352 0.5524 0.4013
O: 0.6352 0.9476 0.4013
O: 0.7254 0.2500 0.0415
O: 0.7409 0.2500 0.7218
O: 0.7591 0.7500 0.2218
O: 0.7746 0.7500 0.5415
O: 0.8648 0.0524 0.9013
O: 0.8648 0.4476 0.9013
O: 0.8720 0.0620 0.3643
O: 0.8720 0.4380 0.3643
O: 0.9450 0.7500 0.1467
O: 0.9847 0.7500 0.5059
O: 0.9909 0.2500 0.1674